(1)
Material: BaZrRu2
Method: DFT, PBE-GGA
State: optimized geometry

extended XYZ file:
```
4
Lattice="0.000 3.420 3.420 3.420 0.000 3.420 3.420 3.420 0.000" Properties=species:S:1:pos:R:3 pbc="T T T"
Ba 0.000 0.000 0.000
Zr 1.710 1.710 1.710
Ru 3.420 3.420 3.420
Ru 5.130 5.130 5.130
```

Properties
DFT formation energy in eV per atom: 0.7414
Volume in Å³/atom: 20.01

***

(2)
Material: MnCoTc2
Method: DFT, PBE-GGA
State: optimized geometry

extended XYZ file:
```
4
Lattice="0.000 2.970 2.970 2.970 0.000 2.970 2.970 2.970 0.000" Properties=species:S:1:pos:R:3 pbc="T T T"
Mn 0.000 0.000 0.000
Co 2.970 2.970 2.970
Tc 1.485 1.485 1.485
Tc 4.455 4.455 4.455
```

Properties
DFT formation energy in eV per atom: 0.2239
Volume in Å³/atom: 13.10

***

(3)
Material: NaSr2InAu6
Method: DFT, PBE-GGA
State: optimized geometry

extended XYZ file:
```
10
Lattice="0.000 5.217 5.217 5.217 0.000 5.217 5.217 5.217 0.000" Properties=species:S:1:pos:R:3 pbc="T T T"
Na 0.000 0.000 0.000
Sr 2.609 2.609 2.609
Sr 7.826 7.826 7.826
In 5.217 5.217 5.217
Au 5.217 5.217 2.580
Au 5.217 2.580 5.217
Au 7.854 5.217 5.217
Au 2.580 5.217 5.217
Au 5.217 7.854 5.217
Au 5.217 5.217 7.854
```

Properties
DFT formation energy in eV per atom: -0.1377
Volume in Å³/atom: 28.40